DFT (PBE) results for an optimized crystal structure of Tc2RuSe.

Its uncorrected formation energy is 0.43 eV/atom. For the electronic total energy, the calculation gives -7.9399 eV per atom.

The space group is C2/m (No. 12) and the conventional cell measures 5.036, 8.241 and 2.902 Å, with angles of 90.00, 91.51 and 90.00 degrees. The asymmetric unit holds Tc at (0.250, 0.250, 0.000), Ru at (0.000, 0.000, 0.500) and Se at (0.000, 0.500, 0.500).